Record 1
# Rb2Cd4Pb5, optimized geometry, DFT PBE
data_Rb2Cd4Pb5
_symmetry_space_group_name_H-M 'P 1'
_symmetry_Int_Tables_number 1
_cell_length_a 6.939
_cell_length_b 7.998
_cell_length_c 7.998
_cell_angle_alpha 77.74
_cell_angle_beta 64.29
_cell_angle_gamma 64.29
loop_
_symmetry_equiv_pos_as_xyz
'x,y,z'
loop_
_atom_site_label
_atom_site_type_symbol
_atom_site_fract_x
_atom_site_fract_y
_atom_site_fract_z
Rb1 Rb 0.310 0.690 0.689
Rb2 Rb 0.690 0.310 0.311
Cd1 Cd 0.256 0.089 0.400
Cd2 Cd 0.744 0.911 0.600
Cd3 Cd 0.745 0.599 0.912
Cd4 Cd 0.255 0.401 0.088
Pb1 Pb 0.235 0.180 0.821
Pb2 Pb 0.765 0.820 0.179
Pb3 Pb 0.000 0.500 0.500
Pb4 Pb 0.764 0.180 0.821
Pb5 Pb 0.236 0.820 0.179
# SG ... C2/m, No. 12
# Total magnetic moment ... 0.0 μB/f.u.
# Formation energy ... -0.028 eV/atom

***

Record 2
# RbCd2Pb, optimized geometry, DFT PBE
data_RbCd2Pb
_symmetry_space_group_name_H-M 'P 1'
_symmetry_Int_Tables_number 1
_cell_length_a 5.383
_cell_length_b 6.737
_cell_length_c 7.780
_cell_angle_alpha 90.00
_cell_angle_beta 90.00
_cell_angle_gamma 113.55
loop_
_symmetry_equiv_pos_as_xyz
'x,y,z'
loop_
_atom_site_label
_atom_site_type_symbol
_atom_site_fract_x
_atom_site_fract_y
_atom_site_fract_z
Rb1 Rb 0.918 0.835 0.250
Rb2 Rb 0.082 0.165 0.750
Cd1 Cd 0.381 0.762 0.942
Cd2 Cd 0.619 0.238 0.058
Cd3 Cd 0.619 0.238 0.442
Cd4 Cd 0.381 0.762 0.558
Pb1 Pb 0.213 0.427 0.250
Pb2 Pb 0.787 0.573 0.750
# SG ... Cmcm, No. 63
# Total magnetic moment ... 0.0 μB/f.u.
# Formation energy ... -0.063 eV/atom

***

Record 3
# Rb3Cd8Pb3, optimized geometry, DFT PBE
data_Rb3Cd8Pb3
_symmetry_space_group_name_H-M 'P 1'
_symmetry_Int_Tables_number 1
_cell_length_a 5.212
_cell_length_b 9.834
_cell_length_c 9.834
_cell_angle_alpha 68.44
_cell_angle_beta 74.63
_cell_angle_gamma 74.63
loop_
_symmetry_equiv_pos_as_xyz
'x,y,z'
loop_
_atom_site_label
_atom_site_type_symbol
_atom_site_fract_x
_atom_site_fract_y
_atom_site_fract_z
Rb1 Rb 0.500 0.500 0.500
Rb2 Rb 0.804 0.196 0.196
Rb3 Rb 0.196 0.804 0.804
Cd1 Cd 0.640 0.082 0.637
Cd2 Cd 0.360 0.918 0.363
Cd3 Cd 0.640 0.637 0.082
Cd4 Cd 0.360 0.363 0.918
Cd5 Cd 0.830 0.806 0.533
Cd6 Cd 0.170 0.194 0.467
Cd7 Cd 0.830 0.533 0.806
Cd8 Cd 0.170 0.467 0.194
Pb1 Pb 0.500 0.000 0.000
Pb2 Pb 0.000 0.792 0.208
Pb3 Pb 0.000 0.208 0.792
# SG ... Immm, No. 71
# Total magnetic moment ... 0.0 μB/f.u.
# Formation energy ... -0.068 eV/atom